Th2P3N7, optimized geometry, DFT PBE-GGA; total energy = -8.201 eV/atom
1.0
10.853 -2.364 0.000
10.853 2.364 0.000
0.000 0.000 6.739
Th P N
4 6 14
direct
0.141 0.643 0.500 Th
0.357 0.859 0.500 Th
0.643 0.141 0.000 Th
0.859 0.357 0.000 Th
0.073 0.501 0.070 P
0.198 0.802 0.863 P
0.499 0.927 0.070 P
0.501 0.073 0.570 P
0.802 0.198 0.363 P
0.927 0.499 0.570 P
0.037 0.665 0.172 N
0.093 0.907 0.479 N
0.153 0.405 0.626 N
0.273 0.597 0.821 N
0.335 0.963 0.172 N
0.403 0.727 0.821 N
0.405 0.153 0.126 N
0.595 0.847 0.626 N
0.597 0.273 0.321 N
0.665 0.037 0.672 N
0.727 0.403 0.321 N
0.847 0.595 0.126 N
0.907 0.093 0.979 N
0.963 0.335 0.672 N

---

Th2PN4, optimized geometry, DFT PBE-GGA; total energy = -8.777 eV/atom
1.0
5.258 0.000 0.000
0.000 7.194 0.000
0.000 0.000 5.670
Th P N
4 2 8
direct
0.250 0.000 0.235 Th
0.250 0.500 0.235 Th
0.750 0.000 0.765 Th
0.750 0.500 0.765 Th
0.250 0.250 0.781 P
0.750 0.750 0.219 P
0.005 0.250 0.965 N
0.250 0.051 0.639 N
0.250 0.449 0.639 N
0.495 0.250 0.965 N
0.505 0.750 0.035 N
0.750 0.551 0.361 N
0.750 0.949 0.361 N
0.995 0.750 0.035 N

---

Th3P2N8, optimized geometry, DFT PBE-GGA; total energy = -8.691 eV/atom
1.0
2.714 1.567 6.455
-2.714 1.567 6.455
0.000 -3.134 6.455
Th P N
3 2 8
direct
0.000 0.000 0.000 Th
0.207 0.207 0.207 Th
0.793 0.793 0.793 Th
0.409 0.409 0.409 P
0.591 0.591 0.591 P
0.234 0.731 0.731 N
0.269 0.269 0.766 N
0.269 0.766 0.269 N
0.324 0.324 0.324 N
0.676 0.676 0.676 N
0.731 0.234 0.731 N
0.731 0.731 0.234 N
0.766 0.269 0.269 N

---

Th2P2N5, optimized geometry, DFT PBE-GGA; total energy = -8.468 eV/atom
1.0
4.084 0.000 0.000
0.269 5.330 0.000
0.040 2.484 6.283
Th P N
2 2 5
direct
0.235 0.257 0.256 Th
0.765 0.743 0.744 Th
0.401 0.250 0.728 P
0.599 0.750 0.272 P
0.216 0.029 0.657 N
0.220 0.398 0.875 N
0.500 0.500 0.500 N
0.780 0.602 0.125 N
0.784 0.971 0.343 N

---

ThUPN5, optimized geometry, DFT PBE-GGA; total energy = -9.348 eV/atom
1.0
3.436 -4.684 0.000
3.436 4.684 0.000
-2.459 0.000 6.837
Th U P N
2 2 2 10
direct
0.157 0.843 0.750 Th
0.843 0.157 0.250 Th
0.500 0.500 0.000 U
0.500 0.500 0.500 U
0.179 0.821 0.250 P
0.821 0.179 0.750 P
0.098 0.235 0.907 N
0.175 0.612 0.378 N
0.235 0.098 0.407 N
0.388 0.825 0.122 N
0.404 0.596 0.750 N
0.596 0.404 0.250 N
0.612 0.175 0.878 N
0.765 0.902 0.593 N
0.825 0.388 0.622 N
0.902 0.765 0.093 N

---

YTh2PN5, optimized geometry, DFT PBE-GGA; total energy = -8.577 eV/atom
1.0
6.725 0.000 0.000
0.000 6.725 0.000
0.000 0.000 5.604
Y Th P N
2 4 2 10
direct
0.000 0.000 0.000 Y
0.500 0.500 0.000 Y
0.179 0.321 0.500 Th
0.321 0.821 0.500 Th
0.679 0.179 0.500 Th
0.821 0.679 0.500 Th
0.000 0.500 0.000 P
0.500 0.000 0.000 P
0.000 0.000 0.500 N
0.131 0.631 0.220 N
0.131 0.631 0.780 N
0.369 0.131 0.220 N
0.369 0.131 0.780 N
0.500 0.500 0.500 N
0.631 0.869 0.220 N
0.631 0.869 0.780 N
0.869 0.369 0.220 N
0.869 0.369 0.780 N